DFT (GGA-PBEsol) results for crystalline AsRuIBr2 at its relaxed geometry.

The structure belongs to space group P4/mmm (No. 123); the cell edges are 5.5556, 5.5556 and 5.3980 Å and the angles 90.00°, 90.00° and 90.00°. The asymmetric unit holds As at (0.0000, 0.0000, 0.0000), Ru at (0.5000, 0.5000, 0.0000), I at (0.0000, 0.0000, 0.5000) and Br at (0.0000, 0.5000, 0.5000).

The calculation puts the total energy at -12.46 eV for the cell shown. As for the uncorrected formation energy: 1664 meV per atom. As for the volume: 167 Å³ per cell.